Compound: Ca2VBiO6
Source: the Alexandria database
Functional: PBE with a Hubbard U
Structure: relaxed

## Properties
- Total DFT energy (no corrections): -6.4534 eV per atom
- Magnetic moment: 0.00 Bohr magnetons per cell

abc: 8.2861 8.2861 8.2861
angles: 90.00 90.00 90.00
Closest atoms and distances in Å follow each position.
Space group Fm-3m (No. 225)
Unique sites:
1 Ca 0.2500 0.2500 0.2500 (multiplicity 8)  12 O 2.94
2 V 0.0000 0.0000 0.0000 (multiplicity 4)  6 O 1.89
3 Bi 0.0000 0.0000 0.5000 (multiplicity 4)  6 O 2.25
4 O 0.0000 0.0000 0.2279 (multiplicity 24)  1 V 1.89